Record 1
RbNa2P: optimized geometry, PBE.

a = 5.9923 Å, b = 5.9923 Å, c = 9.9425 Å
α = 72.46°, β = 72.46°, γ = 90.00°
Closest atoms and distances in Å follow each position.
Positions (direct):
Na 0.3910 0.1250 0.2500  2 P 2.70, 2 Na 3.00
Na 0.3750 0.6090 0.7500  2 P 2.70, 2 Na 3.00
Rb 0.7500 0.2500 0.5000  8 Na 3.96-4.11, 4 P 4.24
Na 0.8750 0.6410 0.7500  2 P 2.70, 2 Na 3.00
Na 0.3590 0.6250 0.2500  2 P 2.70, 2 Na 3.00
Rb 0.0000 0.0000 0.0000  8 Na 3.96-4.11, 4 P 4.24
P 0.5000 0.5000 0.0000  4 Na 2.70
P 0.2500 0.7500 0.5000  4 Na 2.70

## Properties
Total magnetic moment   0.00 μB/cell
Formation enthalpy at 0 K   -61 meV/atom



Record 2
RbNaP: optimized geometry, PBE.

a = 5.1479 Å, b = 14.3857 Å, c = 5.1479 Å
α = 90.00°, β = 90.00°, γ = 90.00°
Closest atoms and distances in Å follow each position.
Positions (direct):
P 0.5000 0.0844 0.0614  1 P 2.43
P 0.0000 0.5844 0.5614  1 P 2.43
P 0.5000 0.9156 0.0614  1 P 2.43
Na 0.5000 0.0000 0.5615  4 P 2.85
Na 0.0000 0.5000 0.0615  4 P 2.85
Rb 0.0000 0.8113 0.5584  1 P 3.26
Rb 0.5000 0.6887 0.0584  1 P 3.26
Na 0.0000 0.0000 0.0602  4 P 2.85
Rb 0.0000 0.1887 0.5584  1 P 3.26
Na 0.5000 0.5000 0.5602  4 P 2.85
Rb 0.5000 0.3113 0.0584  1 P 3.26
P 0.0000 0.4156 0.5614  1 P 2.43

## Properties
Total magnetic moment   0.00 μB/cell
Formation enthalpy at 0 K   -233 meV/atom



Record 3
Rb2NaP2: optimized geometry, PBE.

a = 7.7523 Å, b = 7.7523 Å, c = 5.3382 Å
α = 90.00°, β = 90.00°, γ = 90.00°
Closest atoms and distances in Å follow each position.
Positions (direct):
Rb 0.8226 0.3226 0.5000  6 P 3.48-3.62, 1 Rb 3.89
Na 0.5000 0.5000 0.0000  4 P 3.20
Rb 0.1774 0.6774 0.5000  6 P 3.48-3.62, 1 Rb 3.89
P 0.4011 0.9011 0.0000  1 P 2.17
Rb 0.6774 0.8226 0.5000  6 P 3.48-3.62, 1 Rb 3.89
P 0.9011 0.5989 0.0000  1 P 2.17
Na 0.0000 0.0000 0.0000  4 P 3.20
Rb 0.3226 0.1774 0.5000  6 P 3.48-3.62, 1 Rb 3.89
P 0.5989 0.0989 0.0000  1 P 2.17
P 0.0989 0.4011 0.0000  1 P 2.17

## Properties
Total magnetic moment   1.28 μB/cell
Formation enthalpy at 0 K   -212 meV/atom



Record 4
RbNaP: optimized geometry, PBE.

a = 7.2567 Å, b = 4.9182 Å, c = 12.0776 Å
α = 90.00°, β = 119.50°, γ = 90.00°
Closest atoms and distances in Å follow each position.
Positions (direct):
P 0.4374 0.0000 0.6145  1 P 2.32
P 0.1330 0.5000 0.9168  1 P 2.32
Rb 0.4923 0.0000 0.9189  2 Na 3.30-3.68, 1 Rb 3.46, 5 P 3.50-3.57
Na 0.1782 0.5000 0.5449  4 P 2.84-2.96
P 0.1330 0.0000 0.4168  1 P 2.32
Rb 0.9705 0.0000 0.6778  1 Rb 3.46, 5 P 3.52-3.87, 4 Na 3.64-3.71
Na 0.1782 0.0000 0.0449  4 P 2.84-2.96
P 0.4374 0.5000 0.1145  1 P 2.32
Rb 0.9705 0.5000 0.1778  1 Rb 3.46, 5 P 3.52-3.87, 4 Na 3.64-3.71
Na 0.6777 0.5000 0.7628  3 P 2.89-3.04
Na 0.6777 0.0000 0.2628  3 P 2.89-3.04
Rb 0.4923 0.5000 0.4189  2 Na 3.30-3.68, 1 Rb 3.46, 5 P 3.50-3.57

## Properties
Total magnetic moment   0.00 μB/cell
Formation enthalpy at 0 K   -200 meV/atom



Record 5
RbNaP: optimized geometry, PBE.

a = 5.1363 Å, b = 5.7299 Å, c = 8.1880 Å
α = 80.52°, β = 75.41°, γ = 76.86°
Closest atoms and distances in Å follow each position.
Positions (direct):
P 0.6914 0.5028 0.9819  1 P 2.33
P 0.5380 0.6355 0.2498  1 P 2.33
Na 0.6266 0.1217 0.2538  3 P 2.86-2.93
Na 0.1093 0.5966 0.1008  4 P 2.76-2.86
Rb 0.9476 0.5758 0.5572  3 P 3.39-3.60, 1 Na 3.61
Rb 0.3987 0.0821 0.8741  3 P 3.39-3.77, 3 Na 3.49-3.64

## Properties
Total magnetic moment   0.00 μB/cell
Formation enthalpy at 0 K   -196 meV/atom



Record 6
RbNaP: optimized geometry, PBE.

a = 11.0748 Å, b = 4.6492 Å, c = 9.1871 Å
α = 90.00°, β = 94.70°, γ = 90.00°
Closest atoms and distances in Å follow each position.
Positions (direct):
Rb 0.2896 0.0000 0.3313  3 P 3.47-3.80, 3 Na 3.74-3.86
P 0.0966 0.0000 0.9699  1 P 2.25
Na 0.0579 0.0000 0.6529  5 P 2.91-3.05, 3 Na 2.99-3.26
Na 0.9421 0.0000 0.3471  5 P 2.91-3.05, 3 Na 2.99-3.26
P 0.0966 0.5000 0.4699  1 P 2.25
Rb 0.7104 0.5000 0.1687  3 P 3.47-3.80, 3 Na 3.74-3.86
Rb 0.2896 0.5000 0.8313  3 P 3.47-3.80, 3 Na 3.74-3.86
Na 0.9421 0.5000 0.8471  5 P 2.91-3.05, 3 Na 2.99-3.26
P 0.9034 0.0000 0.0301  1 P 2.25
Na 0.0579 0.5000 0.1529  5 P 2.91-3.05, 3 Na 2.99-3.26
Rb 0.7104 0.0000 0.6687  3 P 3.47-3.80, 3 Na 3.74-3.86
P 0.9034 0.5000 0.5301  1 P 2.25

## Properties
Total magnetic moment   0.00 μB/cell
Formation enthalpy at 0 K   -262 meV/atom



Record 7
RbNa2P: optimized geometry, PBE.

a = 4.9924 Å, b = 4.9924 Å, c = 6.8249 Å
α = 68.55°, β = 68.55°, γ = 60.00°
Closest atoms and distances in Å follow each position.
Positions (direct):
Na 0.0213 0.0213 0.9361  3 P 2.88, 3 Na 3.02
Na 0.3065 0.3065 0.0804  3 P 2.99, 3 Na 3.02
Rb 0.4897 0.4897 0.5309  1 Na 3.40, 1 P 3.58
P 0.6825 0.6825 0.9526  6 Na 2.88-2.99

## Properties
Total magnetic moment   0.00 μB/cell
Formation enthalpy at 0 K   -251 meV/atom



Record 8
RbNaP: optimized geometry, PBE.

a = 6.9996 Å, b = 6.5941 Å, c = 9.5881 Å
α = 90.00°, β = 122.81°, γ = 90.00°
Closest atoms and distances in Å follow each position.
Positions (direct):
Na 0.5950 0.0000 0.3164  4 P 2.96-3.07
P 0.5000 0.6735 0.5000  1 P 2.29
Na 0.4050 0.0000 0.6836  4 P 2.96-3.07
P 0.5000 0.1735 0.0000  1 P 2.29
Na 0.4050 0.5000 0.1836  4 P 2.96-3.07
Na 0.5950 0.5000 0.8164  4 P 2.96-3.07
Rb 0.9437 0.5000 0.2904  1 Na 3.33, 4 P 3.47-3.56, 3 Rb 3.57-3.65
Rb 0.9437 0.0000 0.7904  1 Na 3.33, 4 P 3.47-3.56, 3 Rb 3.57-3.65
P 0.5000 0.3265 0.5000  1 P 2.29
Rb 0.0563 0.5000 0.7096  1 Na 3.33, 4 P 3.47-3.56, 3 Rb 3.57-3.65
P 0.5000 0.8265 0.0000  1 P 2.29
Rb 0.0563 0.0000 0.2096  1 Na 3.33, 4 P 3.47-3.56, 3 Rb 3.57-3.65

## Properties
Total magnetic moment   0.00 μB/cell
Formation enthalpy at 0 K   -194 meV/atom



Record 9
RbNaP: optimized geometry, PBE.

a = 8.3798 Å, b = 5.0071 Å, c = 12.3573 Å
α = 90.00°, β = 131.61°, γ = 90.00°
Closest atoms and distances in Å follow each position.
Positions (direct):
Rb 0.8449 0.5000 0.5858  2 Na 3.44-3.55, 5 P 3.48-3.77
Rb 0.8449 0.0000 0.0858  2 Na 3.44-3.55, 5 P 3.48-3.77
Na 0.3983 0.0000 0.2729  3 P 2.92-2.97
Na 0.6017 0.0000 0.7271  3 P 2.92-2.97
P 0.8338 0.0000 0.3855  1 P 2.30
Na 0.3983 0.5000 0.7729  3 P 2.92-2.97
P 0.1662 0.5000 0.1145  1 P 2.30
Na 0.6017 0.5000 0.2271  3 P 2.92-2.97
Rb 0.1551 0.5000 0.4142  2 Na 3.44-3.55, 5 P 3.48-3.77
P 0.8338 0.5000 0.8855  1 P 2.30
P 0.1662 0.0000 0.6145  1 P 2.30
Rb 0.1551 0.0000 0.9142  2 Na 3.44-3.55, 5 P 3.48-3.77

## Properties
Total magnetic moment   0.00 μB/cell
Formation enthalpy at 0 K   -227 meV/atom



Record 10
RbNaP3: optimized geometry, PBE.

a = 5.5975 Å, b = 5.5975 Å, c = 5.5975 Å
α = 90.00°, β = 90.00°, γ = 90.00°
Closest atoms and distances in Å follow each position.
Positions (direct):
Na 0.5000 0.5000 0.5000  12 P 3.96
P 0.5000 0.0000 0.0000  2 Rb 2.80
P 0.0000 0.5000 0.0000  2 Rb 2.80
P 0.0000 0.0000 0.5000  2 Rb 2.80
Rb 0.0000 0.0000 0.0000  6 P 2.80

## Properties
Total magnetic moment   0.00 μB/cell
Formation enthalpy at 0 K   1622 meV/atom



Record 11
RbNaP: optimized geometry, PBE.

a = 9.8829 Å, b = 4.4013 Å, c = 12.4798 Å
α = 90.00°, β = 126.30°, γ = 90.00°
Closest atoms and distances in Å follow each position.
Positions (direct):
Na 0.4351 0.5000 0.9937  4 P 2.91-2.94
Na 0.4351 0.0000 0.4937  4 P 2.91-2.94
P 0.2237 0.5000 0.4659  1 P 2.18
Rb 0.1767 0.5000 0.1543  5 P 3.45-3.63, 1 Na 3.54
Rb 0.8888 0.0000 0.2696  3 P 3.49-3.57, 1 Rb 3.87
Rb 0.1767 0.0000 0.6543  5 P 3.45-3.63, 1 Na 3.54
P 0.2237 0.0000 0.9659  1 P 2.18
Rb 0.8888 0.5000 0.7696  3 P 3.49-3.57, 1 Rb 3.87
Na 0.6203 0.5000 0.3499  2 P 2.90
Na 0.6203 0.0000 0.8499  2 P 2.90
P 0.4640 0.5000 0.6621  1 P 2.18
P 0.4640 0.0000 0.1621  1 P 2.18

## Properties
Total magnetic moment   0.00 μB/cell
Formation enthalpy at 0 K   -189 meV/atom



Record 12
Rb2NaPRh: optimized geometry, PBE.

a = 6.6876 Å, b = 4.4181 Å, c = 6.6876 Å
α = 90.00°, β = 90.00°, γ = 90.00°
Closest atoms and distances in Å follow each position.
Positions (direct):
P 0.0000 0.5000 0.0000  2 Rh 2.21
Na 0.5000 0.5000 0.5000  8 Rb 4.01, 2 Na 4.42
Rb 0.0000 0.0000 0.5000  2 Rh 3.34
Rh 0.0000 0.0000 0.0000  2 P 2.21
Rb 0.5000 0.0000 0.0000  2 Rh 3.34

## Properties
Total magnetic moment   0.00 μB/cell
Formation enthalpy at 0 K   -7 meV/atom